The following is a GGA-PBE calculation of an optimized crystal structure of BaGa2NiSn, from Alexandria via LeMat-Bulk.

Properties
calculated total energy	-3.82	eV/atom
symmetry	P4/mmm (123)

```
5
Lattice="4.852 0.000 0.000 0.000 4.852 0.000 0.000 0.000 5.121" Properties=species:S:1:pos:R:3 pbc="T T T"
Ga 0.000 2.426 0.000
Ga 2.426 0.000 0.000
Sn 0.000 0.000 2.561
Ni 0.000 0.000 0.000
Ba 2.426 2.426 2.561
```